(1)
Here is TcSnCl2O after structural relaxation from Alexandria via LeMat-Bulk. Energies are from PBE.

As for the raw total energy: -4.30 eV per atom. The uncorrected formation energy is 0.303 eV/atom. As for the density of states at the Fermi level: 6.6 states/eV/cell.

It has space group P4/mmm (No. 123), with a = 4.445 Å, b = 4.445 Å, c = 5.724 Å, α = 90.00°, β = 90.00° and γ = 90.00°. The distinct sites, in fractional coordinates, are Tc at (0.000, 0.000, 0.000), Sn at (0.000, 0.000, 0.500), Cl at (0.000, 0.500, 0.000) and O at (0.500, 0.500, 0.500).

=====

(2)
Here is TbPm2Ag2Hg2 after structural relaxation from Alexandria via LeMat-Bulk. Energies are from PBE.

As for the raw total energy: -3.16 eV per atom. The energy of formation is -244 meV/atom. As for the density of states at the Fermi level: 16.9 states/eV/cell.

It has space group R-3m (No. 166, hexagonal axes), with a = 4.8913 Å, b = 4.8913 Å, c = 26.4746 Å, α = 90.00°, β = 90.00° and γ = 120.00°. The distinct sites, in fractional coordinates, are Tb at (0.0000, 0.0000, 0.0000), Pm at (0.0000, 0.0000, 0.1228), Ag at (0.0000, 0.0000, 0.3936) and Hg at (0.0000, 0.0000, 0.2637).

=====

(3)
Here is MgZn2OF after structural relaxation from Alexandria via LeMat-Bulk. Energies are from PBE.

As for the raw total energy: -2.49 eV per atom. The uncorrected formation energy is -0.297 eV/atom. As for the density of states at the Fermi level: 1.4 states/eV/cell.

It has space group P4/mmm (No. 123), with a = 3.938 Å, b = 3.938 Å, c = 5.245 Å, α = 90.00°, β = 90.00° and γ = 90.00°. The distinct sites, in fractional coordinates, are Mg at (0.000, 0.000, 0.000), Zn at (0.000, 0.500, 0.500), O at (0.500, 0.500, 0.000) and F at (0.500, 0.500, 0.500).